The following is a DFT calculation (GGA-PBE) of a relaxed structure of TiRu2F.

Cell lengths 6.0126, 6.0126, 6.0126 Å; angles 90.00, 90.00, 90.00 degrees
Space group Fm-3m (No. 225)
Unique sites:
Ti (0.0000, 0.0000, 0.0000) [4 per cell]
Ru (0.2500, 0.2500, 0.2500) [8 per cell]
F (0.0000, 0.0000, 0.5000) [4 per cell]

Summary:
VASP energy in eV/cell: -113.11
Uncorrected formation energy in eV per atom: 0.01